A relaxed Be2CoOF crystal. Source: Alexandria, functional PBE with a Hubbard U.

Properties
Raw total energy in eV per atom: -3.77
Total magnetization in μB/atom: 0.435

CIF file:
```
data_Be2CoOF
_cell_length_a 3.1946
_cell_length_b 3.1946
_cell_length_c 5.7271
_cell_angle_alpha 90.00
_cell_angle_beta 90.00
_cell_angle_gamma 90.00
_space_group_name_H-M_alt 'P 4/m m m'
_space_group_IT_number 123
_space_group_name_Hall '-P 4 2'
loop_
_atom_site_label
_atom_site_type_symbol
_atom_site_fract_x
_atom_site_fract_y
_atom_site_fract_z
Be1 Be 0.0000 0.5000 0.0000
Co1 Co 0.0000 0.0000 0.5000
O1 O 0.5000 0.5000 0.5000
F1 F 0.0000 0.0000 0.0000
```